Entry 1:
This record from Alexandria via LeMat-Bulk describes a geometry-optimized HgOsPb structure. The functional is GGA-PBE.

Summary:
Raw total energy: -12.15 eV for the cell shown

a = 4.6908 Å, b = 4.6908 Å, c = 3.3587 Å
α = 90.00°, β = 90.00°, γ = 120.00°
Closest atoms and distances in Å follow each position.
Atoms (fractional coordinates):
Os1 0.3333 0.6667 0.4365  3 Pb 2.73, 3 Hg 3.05
Hg1 0.0000 0.0000 0.0194  6 Os 3.05-3.34, 6 Pb 3.14-3.23, 2 Hg 3.36
Pb1 0.6667 0.3333 0.5441  3 Os 2.73

***

Entry 2:
This record from Alexandria via LeMat-Bulk describes a geometry-optimized Pm3DyAu2 structure. The functional is GGA-PBE.

Summary:
Raw total energy: -57.71 eV for the cell shown

a = 5.0808 Å, b = 7.1814 Å, c = 9.2204 Å
α = 90.00°, β = 90.00°, γ = 90.00°
Closest atoms and distances in Å follow each position.
Atoms (fractional coordinates):
Dy1 0.5000 0.0082 0.4265  3 Au 2.97-3.17
Au1 0.0000 0.7643 0.3494  5 Pm 2.96-3.16, 2 Dy 3.17
Pm1 0.0000 0.4919 0.9251  3 Au 3.01-3.18
Dy2 0.5000 0.5082 0.5735  3 Au 2.97-3.17
Au2 0.5000 0.2353 0.1576  1 Dy 2.97, 6 Pm 2.99-3.18
Pm2 0.0000 0.3483 0.3358  4 Au 2.96-3.13
Pm3 0.0000 0.9919 0.0749  3 Au 3.01-3.18
Pm4 0.5000 0.6520 0.1661  4 Au 2.99-3.16
Au3 0.5000 0.7353 0.8424  1 Dy 2.97, 6 Pm 2.99-3.18
Pm5 0.0000 0.8483 0.6642  4 Au 2.96-3.13
Au4 0.0000 0.2643 0.6506  5 Pm 2.96-3.16, 2 Dy 3.17
Pm6 0.5000 0.1520 0.8339  4 Au 2.99-3.16

***

Entry 3:
This record from Alexandria via LeMat-Bulk describes a geometry-optimized LiTiIn structure. The functional is GGA-PBE.

Summary:
Raw total energy: -25.46 eV for the cell shown

a = 7.5964 Å, b = 7.5964 Å, c = 4.5611 Å
α = 90.00°, β = 90.00°, γ = 155.15°
Closest atoms and distances in Å follow each position.
Atoms (fractional coordinates):
Li1 0.6697 0.3303 0.0000  4 In 2.81, 2 Li 2.89, 2 Ti 3.00
In1 0.8399 0.1601 0.5000  4 Li 2.81, 2 Ti 2.88, 2 In 3.13
Ti1 0.5000 0.5000 0.5000  4 Ti 2.81, 4 In 2.88
Li2 0.3303 0.6697 0.0000  4 In 2.81, 2 Li 2.89, 2 Ti 3.00
In2 0.1601 0.8399 0.5000  4 Li 2.81, 2 Ti 2.88, 2 In 3.13
Ti2 0.0000 0.0000 0.0000  4 Ti 2.81, 4 Li 3.00

***

Entry 4:
This record from Alexandria via LeMat-Bulk describes a geometry-optimized BaHgRu structure. The functional is GGA-PBE.

Summary:
Raw total energy: -10.61 eV for the cell shown

a = 4.6308 Å, b = 4.6308 Å, c = 4.7051 Å
α = 90.00°, β = 90.00°, γ = 120.00°
Closest atoms and distances in Å follow each position.
Atoms (fractional coordinates):
Hg1 0.6667 0.3333 0.5001  3 Ru 2.67
Ru1 0.3333 0.6667 0.4998  3 Hg 2.67
Ba1 0.0000 0.0000 0.0001  6 Ru 3.56, 6 Hg 3.56

***

Entry 5:
This record from Alexandria via LeMat-Bulk describes a geometry-optimized TmGaAg2S4 structure. The functional is GGA-PBE.

Summary:
Raw formation energy: -0.77 eV/atom

a = 7.6657 Å, b = 7.6657 Å, c = 8.0586 Å
α = 121.71°, β = 121.71°, γ = 89.66°
Closest atoms and distances in Å follow each position.
Atoms (fractional coordinates):
S1 0.7635 0.2449 0.5042  3 Ag 2.60-2.74, 2 Tm 2.70, 1 Ga 2.80
Ag1 0.5000 0.0000 0.0000  6 S 2.73-2.74
S2 0.2494 0.2508 0.4567  2 Ga 2.47, 1 Tm 2.72, 1 Ag 2.73
Ga1 0.0000 0.0000 0.0000  4 S 2.47
Ag2 0.5000 0.0000 0.5000  6 S 2.73-2.74
S3 0.2492 0.2506 0.0433  2 Ga 2.47, 1 Tm 2.72, 1 Ag 2.73
S4 0.2551 0.7365 0.9958  3 Ag 2.60-2.74, 2 Tm 2.70, 1 Ga 2.80
Ga2 0.5001 0.4999 0.5000  4 S 2.47
S5 0.7506 0.7492 0.5433  2 Ga 2.47, 1 Tm 2.72, 1 Ag 2.73
Tm1 0.0000 0.5000 0.0000  6 S 2.70-2.72
S6 0.7508 0.7494 0.9567  2 Ga 2.47, 1 Tm 2.72, 1 Ag 2.73
Ag3 0.0000 0.0000 0.5000  2 S 2.60
Tm2 0.0000 0.5000 0.5000  6 S 2.70-2.72
Ag4 0.5000 0.5000 0.0000  2 S 2.60
S7 0.2365 0.7552 0.4958  3 Ag 2.60-2.74, 2 Tm 2.70, 1 Ga 2.80
S8 0.7449 0.2635 0.0042  3 Ag 2.60-2.74, 2 Tm 2.70, 1 Ga 2.80

***

Entry 6:
This record from Alexandria via LeMat-Bulk describes a geometry-optimized BSbSCl2 structure. The functional is GGA-PBE.

Summary:
Raw formation energy: 0.40 eV/atom

a = 4.3266 Å, b = 4.3266 Å, c = 4.6568 Å
α = 90.00°, β = 90.00°, γ = 90.00°
Closest atoms and distances in Å follow each position.
Atoms (fractional coordinates):
Cl1 0.5000 0.0000 0.0000  2 B 2.16
S1 0.0000 0.0000 0.5000  2 B 2.33
B1 0.0000 0.0000 0.0000  4 Cl 2.16, 2 S 2.33
Cl2 0.0000 0.5000 0.0000  2 B 2.16
Sb1 0.5000 0.5000 0.5000  4 S 3.06, 8 Cl 3.18

***

Entry 7:
This record from Alexandria via LeMat-Bulk describes a geometry-optimized BaGe2PbO6 structure. The functional is GGA-PBE.

Summary:
Raw formation energy: -1.85 eV/atom

a = 7.7411 Å, b = 7.7411 Å, c = 5.6474 Å
α = 97.12°, β = 97.12°, γ = 88.19°
Closest atoms and distances in Å follow each position.
Atoms (fractional coordinates):
O1 0.1795 0.1383 0.0249  2 Ge 1.84-1.86
O2 0.4749 0.2816 0.8207  1 Ge 1.74
O3 0.8617 0.8205 0.4751  2 Ge 1.84-1.86
Ba1 0.1778 0.8222 0.2500  8 O 2.73-3.03
Pb1 0.6030 0.3970 0.2500  6 O 2.47-2.61
Ba2 0.8222 0.1778 0.7500  8 O 2.73-3.03
Ge1 0.6911 0.8706 0.2292  4 O 1.73-1.86
O4 0.9132 0.3615 0.1893  1 Ge 1.73
O5 0.7184 0.5251 0.6793  1 Ge 1.74
O6 0.2816 0.4749 0.3207  1 Ge 1.74
O7 0.5251 0.7184 0.1793  1 Ge 1.74
Ge2 0.3089 0.1294 0.7708  4 O 1.73-1.86
O8 0.1383 0.1795 0.5249  2 Ge 1.84-1.86
O9 0.6385 0.0868 0.3107  1 Ge 1.73
O10 0.3615 0.9132 0.6893  1 Ge 1.73
Ge3 0.1294 0.3089 0.2708  4 O 1.73-1.86
Pb2 0.3970 0.6030 0.7500  6 O 2.47-2.61
O11 0.8205 0.8617 0.9751  2 Ge 1.84-1.86
O12 0.0868 0.6385 0.8107  1 Ge 1.73
Ge4 0.8706 0.6911 0.7292  4 O 1.73-1.86

***

Entry 8:
This record from Alexandria via LeMat-Bulk describes a geometry-optimized Ba2BiSbN structure. The functional is GGA-PBE.

Summary:
Raw formation energy: 0.63 eV/atom

a = 6.6078 Å, b = 5.8162 Å, c = 6.6078 Å
α = 90.00°, β = 90.00°, γ = 90.00°
Closest atoms and distances in Å follow each position.
Atoms (fractional coordinates):
Bi1 0.0000 0.5000 0.0000  2 Sb 2.91
Sb1 0.0000 0.0000 0.0000  2 Bi 2.91
N1 0.5000 0.5000 0.5000  8 Ba 4.40, 4 Bi 4.67
Ba1 0.5000 0.0000 0.0000  2 Sb 3.30
Ba2 0.0000 0.0000 0.5000  2 Sb 3.30

***

Entry 9:
This record from Alexandria via LeMat-Bulk describes a geometry-optimized Cd3Pd structure. The functional is GGA-PBE.

Summary:
Raw total energy: -8.83 eV for the cell shown

a = 4.2473 Å, b = 4.1015 Å, c = 5.3012 Å
α = 112.76°, β = 113.62°, γ = 90.00°
Closest atoms and distances in Å follow each position.
Atoms (fractional coordinates):
Cd1 0.2475 0.6642 0.4950  8 Cd 2.95-3.04, 4 Pd 2.99-3.07
Cd2 0.5000 0.4166 0.0000  4 Pd 2.95, 8 Cd 3.02-3.04
Cd3 0.7525 0.1691 0.5050  8 Cd 2.95-3.04, 4 Pd 2.99-3.07
Pd1 0.0000 0.9168 0.0000  12 Cd 2.95-3.07

***

Entry 10:
This record from Alexandria via LeMat-Bulk describes a geometry-optimized Th2MgCu4Ge3 structure. The functional is GGA-PBE.

Summary:
Raw total energy: -51.20 eV for the cell shown

a = 4.1653 Å, b = 4.1653 Å, c = 10.5125 Å
α = 90.00°, β = 90.00°, γ = 90.00°
Closest atoms and distances in Å follow each position.
Atoms (fractional coordinates):
Ge1 0.0000 0.0000 0.5000  4 Cu 2.57
Th1 0.0000 0.5000 0.7648  6 Ge 3.15-3.48, 8 Cu 3.21-3.23, 2 Mg 3.48
Cu1 0.5000 0.5000 0.0000  4 Ge 2.49
Cu2 0.0000 0.5000 0.3575  3 Ge 2.40-2.57, 2 Mg 2.57
Ge2 0.5000 0.0000 0.8706  5 Cu 2.40-2.49
Cu3 0.5000 0.0000 0.6425  3 Ge 2.40-2.57, 2 Mg 2.57
Th2 0.5000 0.0000 0.2352  6 Ge 3.15-3.48, 8 Cu 3.21-3.23, 2 Mg 3.48
Ge3 0.0000 0.5000 0.1294  5 Cu 2.40-2.49
Mg1 0.5000 0.5000 0.5000  4 Cu 2.57
Cu4 0.0000 0.0000 0.0000  4 Ge 2.49

***

Entry 11:
This record from Alexandria via LeMat-Bulk describes a geometry-optimized K4TbPa3Te8 structure. The functional is GGA-PBE.

Summary:
Raw formation energy: -1.03 eV/atom

a = 8.8584 Å, b = 9.8711 Å, c = 8.8589 Å
α = 116.67°, β = 120.00°, γ = 90.00°
Closest atoms and distances in Å follow each position.
Atoms (fractional coordinates):
Te1 0.7626 0.2860 0.5252  1 Tb 3.12, 2 Pa 3.14
Tb1 0.0000 0.5000 0.0000  6 Te 3.12
Te2 0.2374 0.7140 0.9767  1 Tb 3.12, 2 Pa 3.14
Pa1 0.5000 0.5000 0.0000  6 Te 3.14
K1 0.5000 0.0000 0.5000  6 Te 3.50-3.51
Te3 0.7393 0.7140 0.9767  1 Tb 3.12, 2 Pa 3.14
Te4 0.2611 0.2834 0.5222  3 Pa 3.14, 3 K 3.50
K2 0.5000 0.0000 0.0000  6 Te 3.52
Te5 0.7389 0.7166 0.4778  3 Pa 3.14, 3 K 3.50
K3 0.0000 0.0000 0.5000  6 Te 3.50-3.51
K4 0.0000 0.0000 0.0000  6 Te 3.50-3.51
Te6 0.2374 0.7140 0.4748  1 Tb 3.12, 2 Pa 3.14
Pa2 0.5000 0.5000 0.5000  6 Te 3.14
Te7 0.7626 0.2860 0.0233  1 Tb 3.12, 2 Pa 3.14
Pa3 0.0000 0.5000 0.5000  6 Te 3.14
Te8 0.2607 0.2860 0.0233  1 Tb 3.12, 2 Pa 3.14